#P
Compound: La2Zn2Ga
Source: the Alexandria database
Functional: GGA-PBE
Structure: relaxed

Values from the calculation:
Volume, Å³/atom: 24.17

The structure in CIF format:
```
data_La2Zn2Ga
_symmetry_space_group_name_H-M 'P 1'
_symmetry_Int_Tables_number 1
_symmetry_space_group_name_Hall 'P 1'
_cell_length_a 4.6690
_cell_length_b 5.9809
_cell_length_c 9.8012
_cell_angle_alpha 76.51
_cell_angle_beta 76.22
_cell_angle_gamma 67.03
loop_
_atom_site_label
_atom_site_type_symbol
_atom_site_fract_x
_atom_site_fract_y
_atom_site_fract_z
Zn1 Zn 0.4894 0.8855 0.1357
Zn2 Zn 0.5106 0.1145 0.8643
Zn3 Zn 0.6104 0.3953 0.3839
Zn4 Zn 0.3896 0.6047 0.6161
Ga1 Ga 0.2338 0.2454 0.2870
Ga2 Ga 0.7662 0.7546 0.7130
La1 La 0.0818 0.2028 0.6335
La2 La 0.1847 0.6890 0.9416
La3 La 0.8153 0.3110 0.0584
La4 La 0.9182 0.7972 0.3665
```

#Q
Compound: La2Zn2Ga
Source: the Alexandria database
Functional: GGA-PBE
Structure: relaxed

Values from the calculation:
Volume, Å³/atom: 24.70

The structure in CIF format:
```
data_La2Zn2Ga
_symmetry_space_group_name_H-M 'P 1'
_symmetry_Int_Tables_number 1
_symmetry_space_group_name_Hall 'P 1'
_cell_length_a 4.6298
_cell_length_b 5.9115
_cell_length_c 10.0823
_cell_angle_alpha 86.17
_cell_angle_beta 76.73
_cell_angle_gamma 66.95
loop_
_atom_site_label
_atom_site_type_symbol
_atom_site_fract_x
_atom_site_fract_y
_atom_site_fract_z
La1 La 0.6868 0.2852 0.3411
La2 La 0.9065 0.2947 0.8923
La3 La 0.3132 0.7148 0.6589
La4 La 0.0935 0.7053 0.1077
Zn1 Zn 0.0830 0.2771 0.5570
Zn2 Zn 0.3807 0.1238 0.1148
Zn3 Zn 0.9170 0.7229 0.4430
Zn4 Zn 0.6193 0.8762 0.8852
Ga1 Ga 0.3853 0.8863 0.3432
Ga2 Ga 0.6147 0.1137 0.6568
```

#R
Compound: La2Zn2Ga
Source: the Alexandria database
Functional: GGA-PBE
Structure: relaxed

Values from the calculation:
Volume, Å³/atom: 25.57

The structure in CIF format:
```
data_La2Zn2Ga
_symmetry_space_group_name_H-M 'P 1'
_symmetry_Int_Tables_number 1
_symmetry_space_group_name_Hall 'P 1'
_cell_length_a 3.6408
_cell_length_b 3.6408
_cell_length_c 9.9817
_cell_angle_alpha 79.49
_cell_angle_beta 79.49
_cell_angle_gamma 90.00
loop_
_atom_site_label
_atom_site_type_symbol
_atom_site_fract_x
_atom_site_fract_y
_atom_site_fract_z
La1 La 0.6012 0.6012 0.7975
La2 La 0.3988 0.3988 0.2025
Ga1 Ga 0.0000 0.0000 0.0000
Zn1 Zn 0.7500 0.2500 0.5000
Zn2 Zn 0.2500 0.7500 0.5000
```

Tell me which of them is the most stable. Sure, it is #Q.

#P
Compound: La2Zn3Ga5
Source: the Alexandria database
Functional: GGA-PBE
Structure: relaxed

Values from the calculation:
Volume, Å³/atom: 20.07

The structure in CIF format:
```
data_La2Zn3Ga5
_symmetry_space_group_name_H-M 'P 1'
_symmetry_Int_Tables_number 1
_symmetry_space_group_name_Hall 'P 1'
_cell_length_a 6.1451
_cell_length_b 8.6912
_cell_length_c 8.6912
_cell_angle_alpha 74.99
_cell_angle_beta 69.30
_cell_angle_gamma 69.30
loop_
_atom_site_label
_atom_site_type_symbol
_atom_site_fract_x
_atom_site_fract_y
_atom_site_fract_z
Ga1 Ga 0.5040 0.2460 0.2460
Ga2 Ga 0.3796 0.2579 0.9828
Ga3 Ga 0.0040 0.2460 0.2460
Ga4 Ga 0.2500 0.5000 0.5000
Ga5 Ga 0.4960 0.7540 0.7540
Ga6 Ga 0.8796 0.9828 0.2579
Ga7 Ga 0.9960 0.7540 0.7540
Ga8 Ga 0.1204 0.0172 0.7421
Ga9 Ga 0.6204 0.7421 0.0172
Ga10 Ga 0.7500 0.5000 0.5000
Zn1 Zn 0.1267 0.2442 0.5024
Zn2 Zn 0.7500 0.0000 0.0000
Zn3 Zn 0.3733 0.4976 0.7558
Zn4 Zn 0.8733 0.7558 0.4976
Zn5 Zn 0.2500 0.0000 0.0000
Zn6 Zn 0.6267 0.5024 0.2442
La1 La 0.6255 0.1270 0.6221
La2 La 0.8745 0.3779 0.8730
La3 La 0.3745 0.8730 0.3779
La4 La 0.1255 0.6221 0.1270
```

#Q
Compound: La2Zn3Ga5
Source: the Alexandria database
Functional: GGA-PBE
Structure: relaxed

Values from the calculation:
Volume, Å³/atom: 20.18

The structure in CIF format:
```
data_La2Zn3Ga5
_symmetry_space_group_name_H-M 'P 1'
_symmetry_Int_Tables_number 1
_symmetry_space_group_name_Hall 'P 1'
_cell_length_a 4.3880
_cell_length_b 4.3880
_cell_length_c 10.4798
_cell_angle_alpha 90.00
_cell_angle_beta 90.00
_cell_angle_gamma 90.00
loop_
_atom_site_label
_atom_site_type_symbol
_atom_site_fract_x
_atom_site_fract_y
_atom_site_fract_z
Ga1 Ga 0.0000 0.5000 0.1398
Ga2 Ga 0.5000 0.5000 0.5000
Ga3 Ga 0.5000 0.0000 0.8602
Ga4 Ga 0.0000 0.0000 0.0000
Ga5 Ga 0.5000 0.5000 0.0000
Zn1 Zn 0.0000 0.5000 0.3748
Zn2 Zn 0.0000 0.0000 0.5000
Zn3 Zn 0.5000 0.0000 0.6252
La1 La 0.5000 0.0000 0.2525
La2 La 0.0000 0.5000 0.7475
```

Tell me which of them is the most stable. Sure, it is #P.

#P
Compound: La2Zn5Ga3
Source: the Alexandria database
Functional: GGA-PBE
Structure: relaxed

Values from the calculation:
Volume, Å³/atom: 19.97

The structure in CIF format:
```
data_La2Zn5Ga3
_symmetry_space_group_name_H-M 'P 1'
_symmetry_Int_Tables_number 1
_symmetry_space_group_name_Hall 'P 1'
_cell_length_a 4.3406
_cell_length_b 4.3406
_cell_length_c 10.6017
_cell_angle_alpha 90.00
_cell_angle_beta 90.00
_cell_angle_gamma 90.00
loop_
_atom_site_label
_atom_site_type_symbol
_atom_site_fract_x
_atom_site_fract_y
_atom_site_fract_z
Ga1 Ga 0.0000 0.0000 0.5000
Ga2 Ga 0.5000 0.0000 0.6398
Ga3 Ga 0.0000 0.5000 0.3602
La1 La 0.0000 0.5000 0.7504
La2 La 0.5000 0.0000 0.2496
Zn1 Zn 0.5000 0.0000 0.8746
Zn2 Zn 0.5000 0.5000 0.0000
Zn3 Zn 0.0000 0.0000 0.0000
Zn4 Zn 0.0000 0.5000 0.1254
Zn5 Zn 0.5000 0.5000 0.5000
```

#Q
Compound: La2Zn5Ga3
Source: the Alexandria database
Functional: GGA-PBE
Structure: relaxed

Values from the calculation:
Volume, Å³/atom: 19.89

The structure in CIF format:
```
data_La2Zn5Ga3
_symmetry_space_group_name_H-M 'P 1'
_symmetry_Int_Tables_number 1
_symmetry_space_group_name_Hall 'P 1'
_cell_length_a 6.1210
_cell_length_b 8.6598
_cell_length_c 8.6598
_cell_angle_alpha 75.74
_cell_angle_beta 69.30
_cell_angle_gamma 69.30
loop_
_atom_site_label
_atom_site_type_symbol
_atom_site_fract_x
_atom_site_fract_y
_atom_site_fract_z
Zn1 Zn 0.1275 0.0008 0.7441
Zn2 Zn 0.7500 0.5000 0.5000
Zn3 Zn 0.4952 0.2548 0.2548
Zn4 Zn 0.0048 0.7452 0.7452
Zn5 Zn 0.5048 0.7452 0.7452
Zn6 Zn 0.8725 0.9992 0.2559
Zn7 Zn 0.6275 0.7441 0.0008
Zn8 Zn 0.9952 0.2548 0.2548
Zn9 Zn 0.2500 0.5000 0.5000
Zn10 Zn 0.3725 0.2559 0.9992
La1 La 0.8758 0.3709 0.8775
La2 La 0.6242 0.1225 0.6291
La3 La 0.1242 0.6291 0.1225
La4 La 0.3758 0.8775 0.3709
Ga1 Ga 0.1250 0.2377 0.5122
Ga2 Ga 0.6250 0.5122 0.2377
Ga3 Ga 0.3750 0.4878 0.7623
Ga4 Ga 0.8750 0.7623 0.4878
Ga5 Ga 0.7500 0.0000 0.0000
Ga6 Ga 0.2500 0.0000 0.0000
```

Tell me which of them is the most stable. Sure, it is #Q.